1.
# CuTeO3

A relaxed CuTeO3 crystal (PBEsol, the Alexandria database).

Results
energy relative to the elements, uncorrected = -0.82 eV per atom
DOS at the Fermi energy = 1.02 states/eV/f.u.

abc: 6.2467 7.0867 11.8302
angles: 90.00 97.34 90.00
Last column: magnetic moment on the atom in μB.
Positions (direct):
Te 0.4316 0.1356 0.8864  -0.01
Te 0.2837 0.8698 0.3611  0.00
Te 0.2837 0.6302 0.8611  0.00
Te 0.4316 0.3644 0.3864  -0.01
Te 0.7163 0.3698 0.1389  0.00
Te 0.5684 0.6356 0.6136  -0.01
Te 0.5684 0.8644 0.1136  -0.01
Te 0.7163 0.1302 0.6389  0.00
O 0.6390 0.8971 0.9571  -0.02
O 0.3605 0.6574 0.0498  0.04
O 0.3610 0.1029 0.0429  -0.02
O 0.9870 0.6211 0.9008  -0.01
O 0.9870 0.8789 0.4008  -0.01
O 0.8137 0.3823 0.3103  0.00
O 0.8003 0.6630 0.1436  0.03
O 0.1997 0.3370 0.8564  0.03
O 0.8090 0.0944 0.1540  -0.06
O 0.1863 0.6177 0.6897  0.00
O 0.1910 0.5944 0.3460  -0.06
O 0.8090 0.4056 0.6540  -0.06
O 0.1863 0.8823 0.1897  0.00
O 0.0130 0.1211 0.5992  -0.01
O 0.3610 0.3971 0.5429  -0.02
O 0.6395 0.1574 0.4502  0.04
O 0.3605 0.8426 0.5498  0.04
O 0.8003 0.8370 0.6436  0.03
O 0.1910 0.9056 0.8460  -0.06
O 0.8137 0.1177 0.8103  0.00
O 0.6395 0.3426 0.9502  0.04
O 0.0130 0.3789 0.0992  -0.01
O 0.1997 0.1630 0.3564  0.03
O 0.6390 0.6029 0.4571  -0.02
Cu 0.9051 0.1470 0.3828  0.36
Cu 0.9051 0.3530 0.8828  0.36
Cu 0.0965 0.3843 0.6162  -0.37
Cu 0.0949 0.6470 0.1172  0.36
Cu 0.9035 0.6157 0.3838  -0.37
Cu 0.0965 0.1157 0.1162  -0.37
Cu 0.0949 0.8530 0.6172  0.36
Cu 0.9035 0.8843 0.8838  -0.37



2.
# CuTe2O5

A relaxed CuTe2O5 crystal (PBEsol, the Alexandria database).

Results
energy relative to the elements, uncorrected = -0.90 eV per atom
DOS at the Fermi energy = 0.22 states/eV/f.u.

abc: 6.8614 7.4158 9.3670
angles: 90.00 90.00 109.54
Last column: magnetic moment on the atom in μB.
Positions (direct):
Cu 0.3435 0.7939 0.9884  0.60
Cu 0.3435 0.2939 0.5116  0.60
Cu 0.6565 0.7061 0.4884  0.60
Cu 0.6565 0.2061 0.0116  0.60
Te 0.3439 0.9385 0.3214  0.01
Te 0.6561 0.5615 0.8214  0.01
Te 0.3439 0.4385 0.1786  0.01
Te 0.1418 0.0976 0.7938  0.00
Te 0.8582 0.9024 0.2062  0.00
Te 0.8582 0.4024 0.2938  0.00
Te 0.1418 0.5976 0.7062  0.00
Te 0.6561 0.0615 0.6786  0.01
O 0.6301 0.0049 0.8764  0.08
O 0.3257 0.5866 0.8564  0.09
O 0.5018 0.6881 0.1137  0.09
O 0.8535 0.1576 0.1446  0.08
O 0.8535 0.6576 0.3554  0.08
O 0.5018 0.1881 0.3863  0.09
O 0.1465 0.3424 0.6446  0.08
O 0.4982 0.8119 0.6137  0.09
O 0.1465 0.8424 0.8554  0.08
O 0.6743 0.4134 0.1436  0.09
O 0.1014 0.5405 0.1797  0.01
O 0.8986 0.4595 0.8203  0.01
O 0.8986 0.9595 0.6797  0.01
O 0.6301 0.5049 0.6236  0.08
O 0.6743 0.9134 0.3564  0.09
O 0.3257 0.0866 0.6436  0.09
O 0.4982 0.3119 0.8863  0.09
O 0.3699 0.4951 0.3764  0.08
O 0.1014 0.0405 0.3203  0.01
O 0.3699 0.9951 0.1236  0.08



3.
# CuTeO3

A relaxed CuTeO3 crystal (PBEsol, the Alexandria database).

Results
energy relative to the elements, uncorrected = -0.81 eV per atom
DOS at the Fermi energy = 0.73 states/eV/f.u.

abc: 5.6649 5.9409 7.0331
angles: 90.00 90.00 90.00
Last column: magnetic moment on the atom in μB.
Positions (direct):
Cu 0.0000 0.5000 0.0000  0.57
Cu 0.5000 0.0000 0.0000  0.57
Cu 0.5000 0.0000 0.5000  0.57
Cu 0.0000 0.5000 0.5000  0.57
Te 0.9983 0.9770 0.2500  0.03
Te 0.4983 0.5230 0.7500  0.03
Te 0.5017 0.4770 0.2500  0.03
Te 0.0017 0.0230 0.7500  0.03
O 0.4045 0.6960 0.4446  0.10
O 0.9045 0.8040 0.5554  0.10
O 0.0955 0.1960 0.0554  0.10
O 0.5955 0.3040 0.9446  0.10
O 0.5955 0.3040 0.5554  0.10
O 0.0955 0.1960 0.4446  0.10
O 0.9045 0.8040 0.9446  0.10
O 0.4045 0.6960 0.0554  0.10
O 0.6616 0.0472 0.2500  0.15
O 0.1616 0.4528 0.7500  0.15
O 0.8384 0.5472 0.2500  0.15
O 0.3384 0.9528 0.7500  0.15



4.
# Ti3Cu3Te2O16

A relaxed Ti3Cu3Te2O16 crystal (PBEsol, the Alexandria database).

Results
energy relative to the elements, uncorrected = -1.50 eV per atom
DOS at the Fermi energy = 4.46 states/eV/f.u.

abc: 5.9928 5.9928 9.2481
angles: 87.18 87.18 57.91
Last column: magnetic moment on the atom in μB.
Positions (direct):
Ti 0.3367 0.8359 0.7918  -0.01
Ti 0.8359 0.3367 0.7918  -0.01
Ti 0.1579 0.1579 0.2820  0.00
Cu 0.8272 0.8272 0.7963  0.71
Cu 0.1627 0.6586 0.2924  -0.09
Cu 0.6586 0.1627 0.2924  -0.09
Te 0.6824 0.6824 0.5139  -0.01
Te 0.3280 0.3280 0.0157  0.00
O 0.3732 0.8508 0.4027  0.01
O 0.5323 0.5323 0.6563  0.00
O 0.6512 0.6512 0.9000  0.11
O 0.0015 0.0015 0.7060  0.10
O 0.9925 0.9925 0.2028  -0.03
O 0.8508 0.3732 0.4027  0.01
O 0.5132 0.9641 0.6558  0.09
O 0.9641 0.5132 0.6558  0.09
O 0.1805 0.1805 0.8854  0.00
O 0.8506 0.8506 0.4129  -0.02
O 0.0208 0.4538 0.1401  0.00
O 0.4538 0.0208 0.1401  0.00
O 0.3303 0.3303 0.3817  -0.07
O 0.1782 0.6524 0.9022  0.07
O 0.4650 0.4650 0.1612  -0.02
O 0.6524 0.1782 0.9022  0.07



5.
# ZnCu2TeO

A relaxed ZnCu2TeO crystal (PBEsol, the Alexandria database).

Results
energy relative to the elements, uncorrected = 0.22 eV per atom
DOS at the Fermi energy = 1.39 states/eV/f.u.

abc: 3.5174 4.7738 4.7738
angles: 90.00 90.00 90.00
Positions (direct):
Zn 0.0000 0.0000 0.0000
Te 0.5000 0.5000 0.5000
O 0.5000 0.0000 0.0000
Cu 0.0000 0.0000 0.5000
Cu 0.0000 0.5000 0.0000



6.
# TiCu3O4

A relaxed TiCu3O4 crystal (PBEsol, the Alexandria database).

Results
energy relative to the elements, uncorrected = -1.34 eV per atom
DOS at the Fermi energy = 4.52 states/eV/f.u.

abc: 2.9265 6.0421 6.0081
angles: 73.64 75.90 75.98
Positions (direct):
Ti 0.3064 0.5163 0.8708
Cu 0.9826 0.9930 0.0417
Cu 0.6718 0.0119 0.6446
Cu 0.0647 0.4699 0.4007
O 0.1070 0.6778 0.1082
O 0.8120 0.6947 0.6813
O 0.5441 0.3289 0.5830
O 0.8447 0.3075 0.0031